Here is crystalline BeIn2WF at its relaxed geometry from Alexandria via LeMat-Bulk. Energies are from PBE with a Hubbard U.

**SG**: No. 123
**Total moment**: 4.0 μB/cell
**Crystal system**: tetragonal
**Calculated total energy**: -2.9874 eV/atom

Unit cell a=5.5693 b=5.5693 c=4.5738 alpha=90.00 beta=90.00 gamma=90.00
Fractional coordinates of all 5 atoms:
Be  0.0000  0.0000  0.0000
In  0.0000  0.5000  0.5000
In  0.5000  0.0000  0.5000
W  0.0000  0.0000  0.5000
F  0.5000  0.5000  0.0000